VASP calculation (PBE) on crystalline ZrInAgS3 at its relaxed geometry.

abc: 3.749 7.173 10.353
angles: 90.00 90.00 74.85
Sites, in units of the cell vectors:
1 Ag 0.404 0.193 0.250
2 Ag 0.596 0.807 0.750
3 In 0.710 0.580 0.250
4 In 0.290 0.420 0.750
5 S 0.371 0.258 0.016
6 S 0.049 0.902 0.250
7 S 0.371 0.258 0.484
8 S 0.629 0.742 0.516
9 S 0.951 0.098 0.750
10 S 0.629 0.742 0.984
11 Zr 0.000 0.000 0.000
12 Zr 0.000 0.000 0.500

Computed properties:
electronic total energy = -62.960 eV for the cell shown
energy above the most stable polymorph in this dataset = 0.0 kJ per mole of atoms

***

VASP calculation (PBE) on crystalline InAgSb2 at its relaxed geometry.

abc: 5.217 5.217 5.217
angles: 60.00 60.00 60.00
Sites, in units of the cell vectors:
1 Ag 0.500 0.500 0.500
2 In 0.750 0.750 0.750
3 Sb 0.000 0.000 0.000
4 Sb 0.250 0.250 0.250

Computed properties:
electronic total energy = -13.021 eV for the cell shown

***

VASP calculation (PBE) on crystalline Sc2InAg2 at its relaxed geometry.

abc: 6.569 6.569 6.569
angles: 140.21 140.21 57.54
Sites, in units of the cell vectors:
1 Ag 0.389 0.389 0.000
2 Ag 0.611 0.611 0.000
3 In 0.000 0.000 0.000
4 Sc 0.750 0.250 0.500
5 Sc 0.250 0.750 0.500

Computed properties:
electronic total energy = -20.924 eV for the cell shown